Record 1
{
  "formula": "PuTc2P2",
  "functional": "PBE",
  "state": "relaxed",
  "lattice_angstrom": [[-2.062, 2.062, 4.869], [2.062, -2.062, 4.869], [2.062, 2.062, -4.869]],
  "species": ["Pu", "Tc", "Tc", "P", "P"],
  "frac_coords": [[0.000, 0.000, 0.000], [0.250, 0.750, 0.500], [0.750, 0.250, 0.500], [0.370, 0.370, 0.000], [0.630, 0.630, 0.000]],
  "total_magnetization_mub_per_atom": 1.009,
  "density_g_cm3": 10.06,
  "volume_a3_per_cell": 83,
  "final_energy_ev_per_cell": -49.61,
  "formation_enthalpy_0k_ev_per_atom": -0.7444
}



Record 2
{
  "formula": "PuTc5P3",
  "functional": "PBE",
  "state": "relaxed",
  "lattice_angstrom": [[1.524, -6.665, 0.000], [1.524, 6.665, 0.000], [0.000, 0.000, 13.633]],
  "species": ["Pu", "Pu", "Tc", "Tc", "Tc", "Tc", "Tc", "Tc", "Tc", "Tc", "Tc", "Tc", "P", "P", "P", "P", "P", "P"],
  "frac_coords": [[0.148, 0.852, 0.750], [0.852, 0.148, 0.250], [0.000, 0.000, 0.000], [0.000, 0.000, 0.500], [0.197, 0.803, 0.078], [0.197, 0.803, 0.422], [0.455, 0.545, 0.660], [0.455, 0.545, 0.840], [0.545, 0.455, 0.160], [0.545, 0.455, 0.340], [0.803, 0.197, 0.578], [0.803, 0.197, 0.922], [0.159, 0.841, 0.250], [0.371, 0.629, 0.051], [0.371, 0.629, 0.449], [0.629, 0.371, 0.551], [0.629, 0.371, 0.949], [0.841, 0.159, 0.750]],
  "total_magnetization_mub_per_atom": 0.604,
  "density_g_cm3": 9.91,
  "volume_a3_per_cell": 277,
  "final_energy_ev_per_cell": -172.25,
  "formation_enthalpy_0k_ev_per_atom": -0.4151
}



Record 3
{
  "formula": "PuTcP",
  "functional": "PBE",
  "state": "relaxed",
  "lattice_angstrom": [[-1.556, 1.556, 5.386], [1.556, -1.556, 5.386], [1.556, 1.556, -5.386]],
  "species": ["Pu", "Tc", "P"],
  "frac_coords": [[0.000, 0.000, 0.000], [0.706, 0.706, 0.000], [0.302, 0.302, 0.000]],
  "relative_energy_mev_per_atom": 224,
  "total_magnetization_mub_per_atom": 1.780,
  "density_g_cm3": 11.87,
  "volume_a3_per_cell": 52,
  "final_energy_ev_per_cell": -31.57,
  "formation_enthalpy_0k_ev_per_atom": -0.4857
}



Record 4
{
  "formula": "PuTcP2",
  "functional": "PBE",
  "state": "relaxed",
  "lattice_angstrom": [[3.873, 0.000, 0.000], [0.000, 19.171, 0.000], [-3.793, 0.000, 3.909]],
  "species": ["Pu", "Pu", "Pu", "Pu", "Tc", "Tc", "Tc", "Tc", "P", "P", "P", "P", "P", "P", "P", "P"],
  "frac_coords": [[0.046, 0.111, 0.282], [0.046, 0.389, 0.782], [0.954, 0.611, 0.218], [0.954, 0.889, 0.718], [0.455, 0.750, 0.219], [0.455, 0.750, 0.719], [0.545, 0.250, 0.281], [0.545, 0.250, 0.781], [0.044, 0.176, 0.781], [0.044, 0.324, 0.281], [0.476, 0.501, 0.698], [0.476, 0.999, 0.198], [0.524, 0.001, 0.802], [0.524, 0.499, 0.302], [0.956, 0.676, 0.719], [0.956, 0.824, 0.219]],
  "relative_energy_mev_per_atom": 30,
  "total_magnetization_mub_per_atom": 1.301,
  "density_g_cm3": 9.24,
  "volume_a3_per_cell": 290,
  "final_energy_ev_per_cell": -153.56,
  "formation_enthalpy_0k_ev_per_atom": -0.7180
}



Record 5
{
  "formula": "PuTcP2",
  "functional": "PBE",
  "state": "relaxed",
  "lattice_angstrom": [[1.831, 1.057, 6.216], [-1.831, 1.057, 6.216], [0.000, -2.114, 6.216]],
  "species": ["Pu", "Tc", "P", "P"],
  "frac_coords": [[0.000, 0.000, 0.000], [0.176, 0.176, 0.176], [0.439, 0.439, 0.439], [0.572, 0.572, 0.572]],
  "relative_energy_mev_per_atom": 77,
  "total_magnetization_mub_per_atom": 1.469,
  "density_g_cm3": 9.30,
  "volume_a3_per_cell": 72,
  "final_energy_ev_per_cell": -38.20,
  "formation_enthalpy_0k_ev_per_atom": -0.6707
}



Record 6
{
  "formula": "Pu3TeP2",
  "functional": "PBE",
  "state": "relaxed",
  "lattice_angstrom": [[2.302, -6.722, 0.000], [2.302, 6.722, 0.000], [0.000, 0.000, 9.637]],
  "species": ["Pu", "Pu", "Pu", "Pu", "Pu", "Pu", "Te", "Te", "P", "P", "P", "P"],
  "frac_coords": [[0.099, 0.901, 0.750], [0.377, 0.623, 0.540], [0.377, 0.623, 0.960], [0.623, 0.377, 0.040], [0.623, 0.377, 0.460], [0.901, 0.099, 0.250], [0.226, 0.774, 0.250], [0.774, 0.226, 0.750], [0.000, 0.000, 0.000], [0.000, 0.000, 0.500], [0.493, 0.507, 0.250], [0.507, 0.493, 0.750]],
  "total_magnetization_mub_per_atom": 2.667,
  "raw_formation_energy_ev_per_atom": -0.881,
  "density_g_cm3": 10.26,
  "volume_a3_per_cell": 298,
  "final_energy_ev_per_cell": -124.49
}



Record 7
{
  "formula": "Pu3Te2P",
  "functional": "PBE",
  "state": "relaxed",
  "lattice_angstrom": [[3.747, -6.467, 0.000], [3.747, 6.467, 0.000], [-2.502, 0.000, 6.973]],
  "species": ["Pu", "Pu", "Pu", "Pu", "Pu", "Pu", "Te", "Te", "Te", "Te", "P", "P"],
  "frac_coords": [[0.000, 0.500, 0.000], [0.137, 0.283, 0.493], [0.283, 0.137, 0.993], [0.500, 0.000, 0.500], [0.717, 0.863, 0.007], [0.863, 0.717, 0.507], [0.262, 0.738, 0.750], [0.419, 0.581, 0.250], [0.581, 0.419, 0.750], [0.738, 0.262, 0.250], [0.094, 0.906, 0.250], [0.906, 0.094, 0.750]],
  "total_magnetization_mub_per_atom": 2.810,
  "raw_formation_energy_ev_per_atom": -1.096,
  "density_g_cm3": 10.01,
  "volume_a3_per_cell": 338,
  "final_energy_ev_per_cell": -122.53
}



Record 8
{
  "formula": "Pu4Te3P",
  "functional": "PBE",
  "state": "relaxed",
  "lattice_angstrom": [[2.137, 1.234, 14.480], [-2.137, 1.234, 14.480], [0.000, -2.467, 14.480]],
  "species": ["Pu", "Pu", "Pu", "Pu", "Te", "Te", "Te", "P"],
  "frac_coords": [[0.123, 0.123, 0.123], [0.367, 0.367, 0.367], [0.633, 0.633, 0.633], [0.877, 0.877, 0.877], [0.254, 0.254, 0.254], [0.500, 0.500, 0.500], [0.746, 0.746, 0.746], [0.000, 0.000, 0.000]],
  "relative_energy_mev_per_atom": 0,
  "total_magnetization_mub_per_atom": 0.066,
  "raw_formation_energy_ev_per_atom": -1.094,
  "density_g_cm3": 10.08,
  "volume_a3_per_cell": 229,
  "final_energy_ev_per_cell": -80.91
}



Record 9
{
  "formula": "Pu3Te2P",
  "functional": "PBE",
  "state": "relaxed",
  "lattice_angstrom": [[-2.130, 3.049, 6.524], [2.130, -3.049, 6.524], [2.130, 3.049, -6.524]],
  "species": ["Pu", "Pu", "Pu", "Te", "Te", "P"],
  "frac_coords": [[0.000, 0.000, 0.000], [0.356, 0.356, 0.000], [0.644, 0.644, 0.000], [0.175, 0.675, 0.500], [0.825, 0.325, 0.500], [0.500, 0.000, 0.500]],
  "total_magnetization_mub_per_atom": 2.810,
  "raw_formation_energy_ev_per_atom": -1.097,
  "density_g_cm3": 9.98,
  "volume_a3_per_cell": 169,
  "final_energy_ev_per_cell": -61.27
}



Record 10
{
  "formula": "Pu4TeP2",
  "functional": "PBE",
  "state": "relaxed",
  "lattice_angstrom": [[2.017, -5.656, 0.000], [2.017, 5.656, 0.000], [0.000, 0.000, 15.682]],
  "species": ["Pu", "Pu", "Pu", "Pu", "Pu", "Pu", "Pu", "Pu", "Te", "Te", "P", "P", "P", "P"],
  "frac_coords": [[0.000, 0.000, 0.000], [0.000, 0.000, 0.500], [0.311, 0.689, 0.603], [0.311, 0.689, 0.897], [0.390, 0.610, 0.250], [0.610, 0.390, 0.750], [0.689, 0.311, 0.103], [0.689, 0.311, 0.397], [0.104, 0.896, 0.250], [0.896, 0.104, 0.750], [0.357, 0.643, 0.073], [0.357, 0.643, 0.427], [0.643, 0.357, 0.573], [0.643, 0.357, 0.927]],
  "total_magnetization_mub_per_atom": 1.642,
  "raw_formation_energy_ev_per_atom": -0.801,
  "density_g_cm3": 10.82,
  "volume_a3_per_cell": 358,
  "final_energy_ev_per_cell": -153.79
}



Record 11
{
  "formula": "Pu5Te5P",
  "functional": "PBE",
  "state": "relaxed",
  "lattice_angstrom": [[6.926, -3.072, 0.000], [6.926, 3.072, 0.000], [-2.843, 0.000, 8.193]],
  "species": ["Pu", "Pu", "Pu", "Pu", "Pu", "Te", "Te", "Te", "Te", "Te", "P"],
  "frac_coords": [[0.000, 0.000, 0.000], [0.344, 0.344, 0.157], [0.344, 0.344, 0.684], [0.656, 0.656, 0.316], [0.656, 0.656, 0.843], [0.163, 0.163, 0.825], [0.175, 0.175, 0.337], [0.500, 0.500, 0.500], [0.825, 0.825, 0.663], [0.837, 0.837, 0.175], [0.500, 0.500, 0.000]],
  "total_magnetization_mub_per_atom": 0.510,
  "raw_formation_energy_ev_per_atom": -0.988,
  "density_g_cm3": 9.00,
  "volume_a3_per_cell": 349,
  "final_energy_ev_per_cell": -103.64
}



Record 12
{
  "formula": "Pu2TeP2",
  "functional": "PBE",
  "state": "relaxed",
  "lattice_angstrom": [[2.904, -2.765, 0.000], [2.904, 2.765, 0.000], [-2.531, 0.000, 7.343]],
  "species": ["Pu", "Pu", "Te", "P", "P"],
  "frac_coords": [[0.094, 0.094, 0.233], [0.906, 0.906, 0.767], [0.500, 0.500, 0.000], [0.301, 0.699, 0.500], [0.699, 0.301, 0.500]],
  "total_magnetization_mub_per_atom": 2.191,
  "raw_formation_energy_ev_per_atom": -0.822,
  "density_g_cm3": 9.54,
  "volume_a3_per_cell": 118,
  "final_energy_ev_per_cell": -46.73
}



Record 13
{
  "formula": "Pu8Te5P3",
  "functional": "PBE",
  "state": "relaxed",
  "lattice_angstrom": [[4.267, 2.463, 7.072], [-4.267, 2.463, 7.072], [0.000, -4.927, 7.072]],
  "species": ["Pu", "Pu", "Pu", "Pu", "Pu", "Pu", "Pu", "Pu", "Te", "Te", "Te", "Te", "Te", "P", "P", "P"],
  "frac_coords": [[0.223, 0.750, 0.750], [0.238, 0.238, 0.238], [0.250, 0.250, 0.777], [0.250, 0.777, 0.250], [0.750, 0.223, 0.750], [0.750, 0.750, 0.223], [0.762, 0.762, 0.762], [0.777, 0.250, 0.250], [0.000, 0.000, 0.000], [0.000, 0.500, 0.500], [0.500, 0.000, 0.500], [0.500, 0.500, 0.000], [0.500, 0.500, 0.500], [0.000, 0.000, 0.500], [0.000, 0.500, 0.000], [0.500, 0.000, 0.000]],
  "total_magnetization_mub_per_atom": 2.787,
  "raw_formation_energy_ev_per_atom": -1.114,
  "density_g_cm3": 9.99,
  "volume_a3_per_cell": 446,
  "final_energy_ev_per_cell": -164.41
}



Record 14
{
  "formula": "Pu5TeP4",
  "functional": "PBE",
  "state": "relaxed",
  "lattice_angstrom": [[6.781, -2.033, 0.000], [6.781, 2.033, 0.000], [-4.966, 0.000, 8.733]],
  "species": ["Pu", "Pu", "Pu", "Pu", "Pu", "Te", "P", "P", "P", "P"],
  "frac_coords": [[0.000, 0.000, 0.000], [0.207, 0.207, 0.816], [0.388, 0.388, 0.612], [0.612, 0.612, 0.388], [0.793, 0.793, 0.184], [0.000, 0.000, 0.500], [0.206, 0.206, 0.296], [0.404, 0.404, 0.104], [0.596, 0.596, 0.896], [0.794, 0.794, 0.704]],
  "total_magnetization_mub_per_atom": 1.542,
  "raw_formation_energy_ev_per_atom": -1.092,
  "density_g_cm3": 10.15,
  "volume_a3_per_cell": 241,
  "final_energy_ev_per_cell": -107.36
}



Record 15
{
  "formula": "Pu4Te3P",
  "functional": "PBE",
  "state": "relaxed",
  "lattice_angstrom": [[4.345, -6.153, 0.000], [4.345, 6.153, 0.000], [0.000, 0.000, 4.303]],
  "species": ["Pu", "Pu", "Pu", "Pu", "Te", "Te", "Te", "P"],
  "frac_coords": [[0.224, 0.224, 0.500], [0.236, 0.764, 0.000], [0.764, 0.236, 0.000], [0.776, 0.776, 0.500], [0.000, 0.500, 0.500], [0.500, 0.000, 0.500], [0.500, 0.500, 0.000], [0.000, 0.000, 0.000]],
  "relative_energy_mev_per_atom": 50,
  "total_magnetization_mub_per_atom": 0.017,
  "raw_formation_energy_ev_per_atom": -1.044,
  "density_g_cm3": 10.03,
  "volume_a3_per_cell": 230,
  "final_energy_ev_per_cell": -80.51
}



Record 16
{
  "formula": "PuThTeP",
  "functional": "PBE",
  "state": "relaxed",
  "lattice_angstrom": [[2.094, 1.209, 7.211], [-2.094, 1.209, 7.211], [0.000, -2.418, 7.211]],
  "species": ["Pu", "Th", "Te", "P"],
  "frac_coords": [[0.000, 0.000, 0.000], [0.474, 0.474, 0.474], [0.239, 0.239, 0.239], [0.735, 0.735, 0.735]],
  "total_magnetization_mub_per_atom": 1.398,
  "raw_formation_energy_ev_per_atom": -1.280,
  "density_g_cm3": 9.62,
  "volume_a3_per_cell": 110,
  "final_energy_ev_per_cell": -35.42
}



Record 17
{
  "formula": "TmPuTeP",
  "functional": "PBE",
  "state": "relaxed",
  "lattice_angstrom": [[2.060, 1.189, 7.016], [-2.060, 1.189, 7.016], [0.000, -2.379, 7.016]],
  "species": ["Tm", "Pu", "Te", "P"],
  "frac_coords": [[0.000, 0.000, 0.000], [0.476, 0.476, 0.476], [0.240, 0.240, 0.240], [0.736, 0.736, 0.736]],
  "total_magnetization_mub_per_atom": 1.411,
  "raw_formation_energy_ev_per_atom": -1.328,
  "density_g_cm3": 9.20,
  "volume_a3_per_cell": 103,
  "final_energy_ev_per_cell": -32.67
}



Record 18
{
  "formula": "PuUTeP",
  "functional": "PBE",
  "state": "relaxed",
  "lattice_angstrom": [[2.048, 1.183, 7.135], [-2.048, 1.183, 7.135], [0.000, -2.365, 7.135]],
  "species": ["Pu", "U", "Te", "P"],
  "frac_coords": [[0.000, 0.000, 0.000], [0.523, 0.523, 0.523], [0.762, 0.762, 0.762], [0.261, 0.261, 0.261]],
  "total_magnetization_mub_per_atom": 2.058,
  "raw_formation_energy_ev_per_atom": -0.931,
  "density_g_cm3": 10.26,
  "volume_a3_per_cell": 104,
  "final_energy_ev_per_cell": -37.90
}



Record 19
{
  "formula": "PuThP2",
  "functional": "PBE",
  "state": "relaxed",
  "lattice_angstrom": [[2.051, 1.184, 6.602], [-2.051, 1.184, 6.602], [0.000, -2.368, 6.602]],
  "species": ["Pu", "Th", "P", "P"],
  "frac_coords": [[0.000, 0.000, 0.000], [0.500, 0.500, 0.500], [0.253, 0.253, 0.253], [0.747, 0.747, 0.747]],
  "relative_energy_mev_per_atom": 0,
  "total_magnetization_mub_per_atom": 1.336,
  "density_g_cm3": 9.29,
  "volume_a3_per_cell": 96,
  "final_energy_ev_per_cell": -38.08,
  "formation_enthalpy_0k_ev_per_atom": -1.3762
}



Record 20
{
  "formula": "Pu4ThP5",
  "functional": "PBE",
  "state": "relaxed",
  "lattice_angstrom": [[-2.024, 2.859, 10.073], [2.024, -2.859, 10.073], [2.024, 2.859, -10.073]],
  "species": ["Pu", "Pu", "Pu", "Pu", "Th", "P", "P", "P", "P", "P"],
  "frac_coords": [[0.101, 0.101, 0.000], [0.298, 0.298, 0.000], [0.702, 0.702, 0.000], [0.899, 0.899, 0.000], [0.500, 0.500, 0.000], [0.000, 0.500, 0.500], [0.199, 0.699, 0.500], [0.396, 0.896, 0.500], [0.604, 0.104, 0.500], [0.801, 0.301, 0.500]],
  "total_magnetization_mub_per_atom": 2.042,
  "density_g_cm3": 9.71,
  "volume_a3_per_cell": 233,
  "final_energy_ev_per_cell": -104.15,
  "formation_enthalpy_0k_ev_per_atom": -1.2356
}